Below is an optimized crystal structure of Pm2CrMoO8, with properties calculated at the PBE with a Hubbard U level.

Electronic total energy (eV per atom): -7.677
Total magnetization (μB per formula unit): 1.995

```
data_Pm2CrMoO8
_chemical_formula_sum 'Pm2 Cr1 Mo1 O8'
_cell_length_a 5.874
_cell_length_b 5.270
_cell_length_c 5.921
_cell_angle_alpha 75.02
_cell_angle_beta 103.76
_cell_angle_gamma 109.57
_symmetry_space_group_name_H-M 'P 1'
_symmetry_Int_Tables_number 1
loop_
_symmetry_equiv_pos_as_xyz
'x,y,z'
loop_
_atom_site_label
_atom_site_fract_x
_atom_site_fract_y
_atom_site_fract_z
Pm1 0.347 0.599 0.684
Pm2 0.653 0.401 0.316
Cr1 0.000 0.000 0.500
Mo1 0.000 0.000 0.000
O1 0.073 0.769 0.318
O2 0.676 0.754 0.975
O3 0.910 0.202 0.184
O4 0.927 0.231 0.682
O5 0.324 0.246 0.025
O6 0.090 0.798 0.816
O7 0.673 0.773 0.479
O8 0.327 0.227 0.521
```